The following is a DFT calculation (PBE) of a relaxed structure of VGeW2.

```
VGeW2
1.0
-5.070 -1.600 4.537
3.175 -6.065 1.408
0.447 -2.643 4.951
W Ge V
4 2 2
Cartesian
1.437 -4.659 2.708
-1.339 -8.659 8.908
-0.359 -4.887 5.950
-2.634 -2.411 4.226
0.000 0.000 0.000
-2.785 -4.038 6.230
1.337 -6.270 4.666
-0.947 -3.833 2.973
```

Results
- DFT formation energy (eV/atom) = 0.86
- space-group type = I-42d (122)
- total DFT energy (no corrections) (eV for the cell shown) = -72.41

---

The following is a DFT calculation (PBE) of a relaxed structure of V5Ge6W.

```
V5Ge6W
1.0
4.429 1.235 0.000
2.293 8.736 0.000
1.146 4.368 4.926
Ge V W
6 5 1
Cartesian
3.988 11.185 3.261
3.881 3.154 1.665
5.055 7.446 0.000
1.667 2.526 0.000
2.841 6.817 1.665
5.028 7.522 3.261
1.146 4.368 1.670
2.293 8.736 3.256
3.361 4.986 3.319
3.361 4.986 0.000
4.508 9.354 1.607
0.000 0.000 0.000
```

Results
- DFT formation energy (eV/atom) = -0.01
- space-group type = C2/m (12)
- total DFT energy (no corrections) (eV for the cell shown) = -86.42

---

The following is a DFT calculation (PBE) of a relaxed structure of V3GeW.

```
V3GeW
1.0
-3.795 1.947 0.555
-1.477 -1.409 -5.158
-2.484 -5.233 2.141
Ge V W
2 6 2
Cartesian
-3.254 0.728 -0.759
-4.503 -5.423 -1.704
-4.095 -1.379 0.058
-3.661 -3.316 -2.520
-2.124 -1.681 -1.752
-6.290 -3.642 -3.006
-5.632 -3.014 -0.710
-1.466 -1.053 0.544
-4.509 -0.938 -2.927
-3.247 -3.757 0.465
```

Results
- DFT formation energy (eV/atom) = 0.16
- offset from the most stable computed form (eV per atom) = 0.0000
- space-group type = P2_1/m (11)
- total DFT energy (no corrections) (eV for the cell shown) = -88.28

---

The following is a DFT calculation (PBE) of a relaxed structure of V4GeW.

```
V4GeW
1.0
-0.905 -3.309 2.654
3.863 0.464 1.896
0.128 3.089 3.896
V Ge W
4 1 1
Cartesian
2.179 -0.895 3.180
0.918 1.104 5.243
0.683 0.556 0.935
3.318 2.962 4.834
-0.383 -0.127 3.264
2.001 1.759 2.885
```

Results
- DFT formation energy (eV/atom) = -0.10
- offset from the most stable computed form (eV per atom) = 0.0000
- space-group type = P2/m (10)
- total DFT energy (no corrections) (eV for the cell shown) = -54.64

---

The following is a DFT calculation (PBE) of a relaxed structure of V3GeW.

```
V3GeW
1.0
4.404 0.000 0.000
0.000 4.404 0.000
0.000 0.000 4.404
W V Ge
1 3 1
Cartesian
2.202 2.202 2.202
0.000 0.000 2.202
2.202 0.000 0.000
0.000 2.202 0.000
0.000 0.000 0.000
```

Results
- DFT formation energy (eV/atom) = 1.18
- offset from the most stable computed form (eV per atom) = 1.0215
- space-group type = Pm-3m (221)
- total DFT energy (no corrections) (eV for the cell shown) = -39.03

---

The following is a DFT calculation (PBE) of a relaxed structure of VGeW.

```
VGeW
1.0
2.733 0.010 -0.003
0.604 5.161 -0.049
0.738 0.394 6.530
Ge V W
2 2 2
Cartesian
2.812 0.368 4.127
1.700 2.970 4.321
3.005 2.452 6.474
1.511 0.946 1.987
1.950 5.096 6.375
3.170 3.464 2.031
```

Results
- DFT formation energy (eV/atom) = 0.07
- offset from the most stable computed form (eV per atom) = 0.1084
- space-group type = P1 (1)
- total DFT energy (no corrections) (eV for the cell shown) = -52.94

---

The following is a DFT calculation (PBE) of a relaxed structure of V6GeW5.

```
V6GeW5
1.0
-4.126 -1.256 -0.500
1.084 -4.957 3.498
-0.158 6.501 3.832
W V Ge
5 6 1
Cartesian
-2.087 -1.963 3.294
-1.114 2.251 3.536
-2.608 0.473 1.479
-0.593 -0.185 5.351
0.542 -2.478 1.749
-0.291 -0.110 2.671
-2.910 0.398 4.158
0.247 -2.568 4.406
-1.785 -1.900 0.647
-3.447 2.856 2.424
-1.257 -4.313 2.350
0.000 0.000 0.000
```

Results
- DFT formation energy (eV/atom) = -0.10
- space-group type = Immm (71)
- total DFT energy (no corrections) (eV for the cell shown) = -125.32

---

The following is a DFT calculation (PBE) of a relaxed structure of VGeW.

```
VGeW
1.0
4.757 -0.001 -0.001
1.539 4.584 0.000
1.517 1.901 4.241
Ge W V
2 2 2
Cartesian
2.337 2.160 2.950
5.476 4.325 1.291
4.639 3.142 3.501
3.174 3.342 0.739
0.820 1.661 0.979
6.993 4.824 3.261
```

Results
- DFT formation energy (eV/atom) = 0.00
- offset from the most stable computed form (eV per atom) = 0.0382
- space-group type = P-1 (2)
- total DFT energy (no corrections) (eV for the cell shown) = -53.36

---

The following is a DFT calculation (PBE) of a relaxed structure of VGeW.

```
VGeW
1.0
2.722 0.000 0.000
0.000 4.351 0.000
0.000 -2.175 3.768
V W Ge
1 1 1
Cartesian
1.792 0.000 2.512
2.672 0.000 0.000
0.980 2.175 1.256
```

Results
- DFT formation energy (eV/atom) = 0.11
- offset from the most stable computed form (eV per atom) = 0.1493
- space-group type = P3m1 (156)
- total DFT energy (no corrections) (eV for the cell shown) = -26.35

---

The following is a DFT calculation (PBE) of a relaxed structure of VGeW.

```
VGeW
1.0
3.130 0.000 0.000
0.000 12.509 0.000
0.000 0.000 4.627
W Ge V
4 4 4
Cartesian
0.783 5.184 3.717
2.348 1.070 1.404
0.783 11.439 1.404
2.348 7.324 3.717
0.783 3.153 0.790
2.348 3.101 3.103
2.348 9.356 0.790
0.783 9.407 3.103
2.348 5.235 1.409
0.783 1.019 3.723
2.348 11.489 3.723
0.783 7.274 1.409
```

Results
- DFT formation energy (eV/atom) = -0.01
- offset from the most stable computed form (eV per atom) = 0.0249
- space-group type = Ama2 (40)
- total DFT energy (no corrections) (eV for the cell shown) = -106.88

---

The following is a DFT calculation (PBE) of a relaxed structure of VGeW.

```
VGeW
1.0
3.254 0.000 0.000
0.000 3.252 0.000
-3.241 0.000 8.359
Ge V W
2 2 2
Cartesian
0.759 0.000 4.564
2.380 1.626 0.385
-0.895 1.626 5.962
0.726 0.000 1.782
-0.845 1.626 3.123
-2.465 0.000 7.303
```

Results
- DFT formation energy (eV/atom) = -0.03
- offset from the most stable computed form (eV per atom) = 0.0075
- space-group type = Cm (8)
- total DFT energy (no corrections) (eV for the cell shown) = -53.55

---

The following is a DFT calculation (PBE) of a relaxed structure of VGeW3.

```
VGeW3
1.0
4.557 0.000 0.000
0.000 4.557 0.000
0.000 0.000 4.557
V W Ge
1 3 1
Cartesian
0.000 0.000 0.000
0.000 0.000 2.279
0.000 2.279 0.000
2.279 0.000 0.000
2.279 2.279 2.279
```

Results
- DFT formation energy (eV/atom) = 1.72
- offset from the most stable computed form (eV per atom) = 0.0000
- space-group type = Pm-3m (221)
- total DFT energy (no corrections) (eV for the cell shown) = -44.00

---

Which value of DFT formation energy does entry 7 give? -0.10 eV/atom

---

Which formula does entry 5 have? V3GeW

---

What is the DFT formation energy in the first record? 0.86 eV/atom

---

What is the total DFT energy (no corrections) in the fourth record? -54.64 eV for the cell shown